No. 1
The following is a DFT calculation (SCAN) of Tc2PRu at its PBEsol-relaxed geometry.

## Properties
N(E_F) ... 2.52 states/eV/cell
Theoretical density ... 10.3 Mg/m³
Magnetization ... 0.0 Bohr magnetons per cell
ΔH_f (0 K) ... -0.20 eV/atom
E_tot ... -29.036 eV per atom

Unit cell a=2.772 b=3.851 c=5.149 alpha=89.99 beta=105.61 gamma=90.00
Atoms (fractional coordinates):
Tc 0.949 0.875 0.897
Tc 0.317 0.375 0.634
P 0.552 0.375 0.105
Ru 0.682 0.875 0.365

No. 2
The following is a DFT calculation (SCAN) of ScTe2PtRh at its PBEsol-relaxed geometry.

## Properties
N(E_F) ... 3.38 states/eV/cell
Theoretical density ... 7.8 Mg/m³
Magnetization ... 0.0 Bohr magnetons per cell
E_tot ... -38.287 eV per atom
Raw formation energy ... 254 meV/atom

Unit cell a=4.720 b=5.180 c=5.180 alpha=90.00 beta=90.00 gamma=90.00
Atoms (fractional coordinates):
Te 0.000 0.500 0.000
Te 0.000 0.000 0.500
Rh 0.500 0.000 0.000
Sc 0.500 0.500 0.500
Pt 0.000 0.000 0.000